(1)
A PBEsol-optimized structure of AlTlSn3, computed with SCAN.

Properties
- M_tot: 0.00 μB/atom
- Space group: Pm-3m
- Energy of formation from the pure elements: 0.3829 eV per atom

```
AlTlSn3
1.0
-2.620 -3.282 3.179
4.563 -1.686 2.019
-0.241 3.758 3.682
Sn Al Tl
3 1 1
Cartesian
-1.310 -1.641 1.589
-0.120 1.879 1.841
2.281 -0.843 1.010
0.000 0.000 0.000
0.851 -0.605 4.440
```

***

(2)
A PBEsol-optimized structure of SrZn2W, computed with SCAN.

Properties
- M_tot: 0.00 μB/atom
- Space group: Imm2
- Energy of formation from the pure elements: 0.6812 eV per atom

```
SrZn2W
1.0
2.838 0.000 0.000
0.000 5.109 0.000
-1.419 -2.555 5.073
Zn Sr W
2 1 1
Cartesian
0.000 0.000 0.044
1.419 0.000 2.252
0.000 0.000 5.013
0.000 2.555 2.837
```

***

(3)
A PBEsol-optimized structure of Tc2GeS, computed with SCAN.

Properties
- M_tot: 0.00 μB/atom
- Space group: Fm-3m
- Formation energy (no corrections): 76 meV per atom

```
Tc2GeS
1.0
4.217 0.000 0.000
2.109 3.652 0.000
2.109 1.217 3.443
Tc Ge S
2 1 1
Cartesian
2.109 1.217 0.861
6.326 3.652 2.583
4.217 2.435 1.722
0.000 0.000 0.000
```